*1*
Li3CoOF3 after structural relaxation, computed with GGA+U.

Lattice parameters (Å, degrees): 2.9183 2.9183 8.4967 90.00 90.00 90.00
Closest atoms and distances in Å follow each position.
Space group P4/mmm (No. 123)
Inequivalent atoms, fractional coordinates:
Li: 0.0000 0.0000 0.0000 x1  6 F 2.01-2.06
Li: 0.5000 0.5000 0.2437 x2  5 F 2.06-2.07, 1 O 2.18
Co: 0.0000 0.0000 0.5000 x1  4 O 2.06, 2 F 2.24
O: 0.5000 0.5000 0.5000 x1  4 Co 2.06, 2 Li 2.18
F: 0.0000 0.0000 0.2369 x2  5 Li 2.01-2.06, 1 Co 2.24
F: 0.5000 0.5000 0.0000 x1  6 Li 2.06-2.07


*2*
Li3CoOF3 after structural relaxation, computed with GGA+U.

Lattice parameters (Å, degrees): 9.8301 2.9718 10.2335 90.00 100.57 90.00
Closest atoms and distances in Å follow each position.
Space group C2 (No. 5)
Inequivalent atoms, fractional coordinates:
Li: 0.0000 0.9997 0.0000 x2  6 F 2.02-2.10
Li: 0.0000 0.0017 0.5000 x2  4 O 2.10-2.11, 2 F 2.21
Li: 0.0015 0.5005 0.2530 x4  1 O 2.02, 5 F 2.07-2.14
Li: 0.2501 0.0000 0.8824 x4  6 F 2.00-2.11
Co: 0.2451 0.9994 0.3852 x4  3 O 2.02-2.05, 3 F 2.21-2.22
O: 0.1237 0.5013 0.4346 x4  3 Li 2.02-2.11, 3 Co 2.02-2.05
F: 0.1242 0.9986 0.1802 x4  5 Li 2.02-2.14, 1 Co 2.21
F: 0.1253 0.5000 0.9391 x4  6 Li 2.00-2.13
F: 0.1292 0.0024 0.7013 x4  4 Li 2.01-2.21, 2 Co 2.21-2.22


Energy ordering: *1* at the bottom, the next structure 0.031 eV/atom above.


*1*
LiCo2OF5 after structural relaxation, computed with GGA+U.

Lattice parameters (Å, degrees): 6.4596 6.4595 18.0915 90.00 90.13 90.00
Closest atoms and distances in Å follow each position.
Space group Cc (No. 9)
Inequivalent atoms, fractional coordinates:
Li: 0.0000 0.0037 0.0000 x4  5 F 1.99-2.07, 1 O 2.08
Li: 0.4874 0.0102 0.2500 x4  5 F 1.99-2.07, 1 O 2.09
Co: 0.0249 0.4989 0.5827 x4  1 O 1.76
Co: 0.4888 0.4981 0.6635 x4  1 O 1.83, 5 F 1.88-1.92
Co: 0.4914 0.0021 0.9135 x4  1 O 1.83, 5 F 1.88-1.92
Co: 0.4905 0.4655 0.8327 x4  1 O 1.76
O: 0.2963 0.4982 0.5892 x4  2 Co 1.76-1.83
O: 0.4911 0.1942 0.8392 x4  2 Co 1.76-1.83
F: 0.1801 0.9999 0.2450 x4  2 Co 1.92-2.02, 1 Li 1.99
F: 0.1970 0.0012 0.0880 x4  2 Co 1.92-2.12, 1 Li 2.04
F: 0.1999 0.0029 0.9151 x4  2 Co 1.88-2.03, 1 Li 2.01
F: 0.2824 0.4991 0.4155 x4  2 Co 1.88-2.03, 1 Li 2.07
F: 0.2993 0.4988 0.7441 x4  2 Co 1.91-2.03, 1 Li 2.02
F: 0.4882 0.2103 0.1650 x4  2 Co 1.88-2.03, 1 Li 2.01
F: 0.4901 0.1888 0.4951 x4  2 Co 1.92-2.02, 1 Li 1.99
F: 0.4897 0.2065 0.3380 x4  2 Co 1.92-2.12, 1 Li 2.04
F: 0.4899 0.2071 0.6657 x4  2 Co 1.88-2.03, 1 Li 2.07
F: 0.4913 0.1920 0.9941 x4  2 Co 1.91-2.03, 1 Li 2.02


*2*
LiCo2OF5 after structural relaxation, computed with GGA+U.

Lattice parameters (Å, degrees): 4.4475 8.4178 8.5553 60.90 88.37 87.47
Closest atoms and distances in Å follow each position.
Space group P1 (No. 1)
Inequivalent atoms, fractional coordinates:
Li: 0.0000 0.0000 0.0000 x1  5 F 1.97-2.00
Li: 0.0122 0.3478 0.3256 x1  5 F 1.94-2.15, 1 O 2.11
Li: 0.4744 0.6722 0.6559 x1  5 F 1.96-2.04, 1 O 2.07
Co: 0.4915 0.0132 0.3172 x1  1 O 1.82, 5 F 1.90-1.96
Co: 0.4966 0.3142 0.6652 x1  1 O 1.77, 1 F 1.99
Co: 0.5033 0.6653 0.0039 x1  1 O 1.83, 5 F 1.96-2.03
Co: 0.9627 0.9997 0.6621 x1  1 O 1.76
Co: 0.9674 0.6825 0.3468 x1  1 O 1.76
Co: 0.9682 0.3568 0.9852 x1  1 O 1.83, 4 F 1.95-2.04
O: 0.7184 0.8020 0.4195 x1  2 Co 1.76-1.82
O: 0.7322 0.4530 0.0989 x1  2 Co 1.83
O: 0.7334 0.1154 0.7491 x1  2 Co 1.76-1.77
F: 0.2082 0.2332 0.8794 x1  2 Co 1.95-2.05, 1 Li 1.98
F: 0.2270 0.2166 0.5523 x1  1 Li 1.95, 2 Co 1.99-2.01
F: 0.2325 0.5748 0.2236 x1  1 Li 1.97, 2 Co 2.02-2.03
F: 0.2339 0.8839 0.8813 x1  1 Li 1.97, 2 Co 1.98-2.04
F: 0.2361 0.2304 0.2097 x1  2 Co 1.93-2.07, 1 Li 1.94
F: 0.2367 0.5611 0.8898 x1  2 Co 1.95-2.03, 1 Li 2.04
F: 0.2435 0.9040 0.2210 x1  2 Co 1.90-2.08, 1 Li 1.99
F: 0.2443 0.9076 0.5358 x1  2 Co 1.96-2.00, 1 Li 1.98
F: 0.2478 0.5435 0.5572 x1  1 Li 1.98, 2 Co 1.99-2.03
F: 0.7145 0.4435 0.7709 x1  1 Li 1.96, 2 Co 1.98-2.01
F: 0.7286 0.7736 0.7718 x1  1 Li 1.99, 2 Co 1.99-2.00
F: 0.7343 0.1236 0.1034 x1  2 Co 1.92-2.04, 1 Li 2.00
F: 0.7368 0.1133 0.4251 x1  2 Co 1.91-2.04
F: 0.7456 0.4506 0.4427 x1  1 Li 1.96, 2 Co 2.01
F: 0.7481 0.7815 0.1048 x1  2 Co 1.96-2.07, 1 Li 1.99


Energy ordering: *1* at the bottom, the next structure 0.010 eV/atom above.


*1*
Li4Co7O3F13 after structural relaxation, computed with GGA+U.

Lattice parameters (Å, degrees): 5.9624 6.0703 10.4953 92.13 104.17 118.49
Closest atoms and distances in Å follow each position.
Space group P1 (No. 1)
Inequivalent atoms, fractional coordinates:
Li: 0.0000 0.0000 0.0000 x1  3 F 1.94-2.00, 1 O 1.98
Li: 0.0039 0.5184 0.4987 x1  3 F 1.94-1.97, 1 O 1.97
Li: 0.2233 0.1563 0.3819 x1  3 F 1.95-2.07, 1 O 1.97
Li: 0.2499 0.6733 0.8808 x1  4 F 1.92-2.01
Co: 0.1033 0.5876 0.1907 x1  2 O 2.01-2.03, 4 F 2.10-2.16
Co: 0.1264 0.0969 0.6916 x1  6 F 2.04-2.12
Co: 0.6281 0.8600 0.4424 x1  1 O 1.98, 4 F 2.00-2.20
Co: 0.6289 0.5933 0.6899 x1  6 F 2.04-2.11
Co: 0.6352 0.3432 0.9389 x1  5 F 2.02-2.17, 1 O 2.02
Co: 0.6434 0.0928 0.2013 x1  2 O 1.98-2.01, 4 F 2.12-2.18
Co: 0.6819 0.6110 0.2036 x1  3 O 1.87-1.92
O: 0.8328 0.9401 0.3110 x1  3 Co 1.92-1.98, 1 Li 1.97
O: 0.8501 0.6779 0.0691 x1  3 Co 1.87-2.03, 1 Li 1.98
O: 0.8528 0.4518 0.3030 x1  3 Co 1.89-2.01, 1 Li 1.97
F: 0.3581 0.9505 0.3154 x1  1 Li 1.97, 3 Co 2.12-2.18
F: 0.3694 0.9988 0.8221 x1  1 Li 1.94, 2 Co 2.02-2.06
F: 0.3745 0.2393 0.5758 x1  1 Li 1.95, 2 Co 2.04
F: 0.3738 0.4852 0.3018 x1  1 Li 2.07, 3 Co 2.11-2.24
F: 0.3782 0.4618 0.8143 x1  1 Li 1.96, 3 Co 2.11-2.17
F: 0.3784 0.7154 0.0804 x1  1 Li 2.01, 2 Co 2.10-2.17
F: 0.3944 0.6973 0.5588 x1  1 Li 1.95, 2 Co 2.00-2.05
F: 0.3996 0.2072 0.0715 x1  1 Li 2.00, 2 Co 2.12-2.13
F: 0.8656 0.4871 0.8167 x1  1 Li 1.92, 2 Co 2.02-2.05
F: 0.8750 0.2161 0.0636 x1  1 Li 1.96, 3 Co 2.14-2.16
F: 0.8775 0.9468 0.8063 x1  1 Li 1.94, 2 Co 2.04
F: 0.8800 0.7330 0.5690 x1  1 Li 1.97, 3 Co 2.09-2.20
F: 0.8878 0.2011 0.5663 x1  1 Li 1.94, 2 Co 2.03-2.04


*2*
Li4Co7O3F13 after structural relaxation, computed with GGA+U.

Lattice parameters (Å, degrees): 5.9920 6.0961 10.4148 91.56 104.58 118.71
Closest atoms and distances in Å follow each position.
Space group P1 (No. 1)
Inequivalent atoms, fractional coordinates:
Li: 0.0000 0.0000 0.0000 x1  4 F 1.92-2.00
Li: 0.0230 0.5405 0.5011 x1  1 O 1.96, 3 F 1.97-2.04
Li: 0.7654 0.8557 0.6317 x1  4 F 1.92-1.97
Li: 0.7884 0.3991 0.1275 x1  2 F 1.96-2.01, 2 O 2.03-2.06
Co: 0.3680 0.1854 0.5651 x1  1 O 1.98, 5 F 2.03-2.22
Co: 0.3822 0.9323 0.8178 x1  6 F 2.04-2.10
Co: 0.3861 0.9417 0.3157 x1  2 O 1.96-1.99, 4 F 2.09-2.18
Co: 0.3912 0.6572 0.0700 x1  2 O 1.85-1.86, 2 F 1.97-2.05
Co: 0.4017 0.4654 0.3070 x1  2 O 2.01-2.03, 4 F 2.10-2.14
Co: 0.8856 0.4253 0.8140 x1  6 F 2.03-2.13
Co: 0.9053 0.9390 0.3132 x1  2 O 1.96-1.99, 3 F 2.10-2.16
O: 0.1597 0.8635 0.4335 x1  3 Co 1.96-1.98, 1 Li 1.96
O: 0.1984 0.6118 0.1908 x1  3 Co 1.85-2.03, 1 Li 2.06
O: 0.6433 0.6076 0.1915 x1  3 Co 1.86-2.01, 1 Li 2.03
F: 0.1232 0.3214 0.9399 x1  1 Li 1.92, 2 Co 2.03-2.05
F: 0.1331 0.5824 0.6989 x1  1 Li 1.97, 2 Co 2.04
F: 0.1392 0.7853 0.9431 x1  1 Li 2.00, 3 Co 2.10-2.20
F: 0.1481 0.0445 0.6941 x1  1 Li 1.92, 2 Co 2.04
F: 0.1543 0.3276 0.4348 x1  1 Li 2.00, 3 Co 2.12-2.22
F: 0.1623 0.0961 0.1923 x1  1 Li 1.93, 2 Co 2.11-2.12
F: 0.6106 0.8187 0.9507 x1  1 Li 1.95, 2 Co 1.97-2.07
F: 0.6173 0.3225 0.4323 x1  1 Li 2.04, 3 Co 2.10-2.18
F: 0.6291 0.0620 0.6930 x1  1 Li 1.97, 2 Co 2.10-2.11
F: 0.6408 0.2838 0.9319 x1  1 Li 1.96, 2 Co 2.04
F: 0.6419 0.5251 0.6856 x1  1 Li 1.94, 2 Co 2.03-2.05
F: 0.6451 0.8239 0.4393 x1  1 Li 1.92, 1 Co 2.14
F: 0.6705 0.0860 0.2129 x1  1 Li 2.01, 2 Co 2.09-2.10


Energy ordering: *1* at the bottom, the next structure 0.010 eV/atom above.


*1*
LiTiCoF6 after structural relaxation, computed with GGA+U.

Lattice parameters (Å, degrees): 5.1798 5.1798 9.2036 90.00 90.00 120.00
Closest atoms and distances in Å follow each position.
Space group P-31c (No. 163)
Inequivalent atoms, fractional coordinates:
Li: 0.0000 0.0000 0.0000 x2  6 F 2.13
Ti: 0.3333 0.6667 0.2500 x2  6 F 1.97
Co: 0.3333 0.6667 0.7500 x2  6 F 2.09
F: 0.0186 0.3492 0.1308 x12  1 Ti 1.97, 1 Co 2.09, 1 Li 2.13


*2*
LiTiCoF6 after structural relaxation, computed with GGA+U.

Lattice parameters (Å, degrees): 8.8411 8.8411 4.6257 90.00 90.00 120.00
Closest atoms and distances in Å follow each position.
Space group P321 (No. 150)
Inequivalent atoms, fractional coordinates:
Li: 0.0000 0.6935 0.0000 x3  6 F 2.01-2.16
Ti: 0.0000 0.3522 0.5000 x3  6 F 1.96-2.03
Co: 0.0000 0.0000 0.5000 x1  6 F 2.05
Co: 0.3333 0.6667 0.9878 x2  6 F 2.05-2.08
F: 0.1044 0.2298 0.7275 x6  1 Li 2.01, 1 Ti 2.03, 1 Co 2.05
F: 0.1064 0.5652 0.7531 x6  1 Ti 2.01, 1 Co 2.05, 1 Li 2.13
F: 0.2020 0.4426 0.2409 x6  1 Ti 1.96, 1 Co 2.08, 1 Li 2.16


Energy ordering: *2* at the bottom, the next structure 0.024 eV/atom above.